# 1
Compound: AcZnBiAs
Source: the Alexandria database
Functional: GGA-PBE
Structure: optimized geometry

```
AcZnBiAs
1.0
0.0000 3.7825 3.7825
3.7825 0.0000 3.7825
3.7825 3.7825 0.0000
Ac Zn Bi As
1 1 1 1
Direct
0.0000 0.0000 0.0000
0.7500 0.7500 0.7500
0.5000 0.5000 0.5000
0.2500 0.2500 0.2500
```

Computed properties:
- total energy (hartree per atom) = -0.14161

---

# 2
Compound: Ac3AsBr3
Source: the Alexandria database
Functional: GGA-PBE
Structure: optimized geometry

```
Ac3AsBr3
1.0
-6.3320 6.3320 6.3320
6.3320 -6.3320 6.3320
6.3320 6.3320 -6.3320
Ac As Br
12 4 12
Direct
0.0098 0.0195 0.2598
0.0098 0.4902 0.7500
0.0195 0.2598 0.0098
0.2402 0.2598 0.7500
0.2402 0.4805 0.4902
0.2598 0.0098 0.0195
0.2598 0.7500 0.2402
0.4805 0.4902 0.2402
0.4902 0.2402 0.4805
0.4902 0.7500 0.0098
0.7500 0.0098 0.4902
0.7500 0.2402 0.2598
0.0000 0.2500 0.5000
0.2500 0.2500 0.2500
0.2500 0.5000 0.0000
0.5000 0.0000 0.2500
0.2500 0.7552 0.7448
0.2500 0.9948 0.5052
0.5052 0.2500 0.9948
0.5052 0.7552 0.5105
0.5105 0.5052 0.7552
0.7448 0.2500 0.7552
0.7448 0.9948 0.9895
0.7552 0.5105 0.5052
0.7552 0.7448 0.2500
0.9895 0.7448 0.9948
0.9948 0.5052 0.2500
0.9948 0.9895 0.7448
```

Computed properties:
- raw formation energy (eV/atom) = -1.585

---

# 3
Compound: Ac4As2Br3
Source: the Alexandria database
Functional: GGA-PBE
Structure: optimized geometry

```
Ac4As2Br3
1.0
3.9225 -2.2648 0.0000
3.9225 2.2648 0.0000
-0.0230 0.0000 18.3967
Ac As Br
4 2 3
Direct
0.0008 0.0008 0.2964
0.3337 0.3337 0.1131
0.6663 0.6663 0.8869
0.9992 0.9992 0.7036
0.3328 0.3328 0.7965
0.6672 0.6672 0.2035
0.0000 0.0000 0.0000
0.3344 0.3344 0.3987
0.6656 0.6656 0.6013
```

Computed properties:
- raw formation energy (eV/atom) = -1.595

---

# 4
Compound: Ac2AsBr
Source: the Alexandria database
Functional: GGA-PBE
Structure: optimized geometry

```
Ac2AsBr
1.0
2.2047 1.2729 8.0918
-2.2047 1.2729 8.0918
0.0000 -2.5457 8.0918
Ac As Br
2 1 1
Direct
0.0000 0.0000 0.0000
0.1911 0.1911 0.1911
0.5971 0.5971 0.5971
0.4278 0.4278 0.4278
```

Computed properties:
- raw formation energy (eV/atom) = -1.387

---

Copy entry 1 word for word.
Compound: AcZnBiAs
Source: the Alexandria database
Functional: GGA-PBE
Structure: optimized geometry

```
AcZnBiAs
1.0
0.0000 3.7825 3.7825
3.7825 0.0000 3.7825
3.7825 3.7825 0.0000
Ac Zn Bi As
1 1 1 1
Direct
0.0000 0.0000 0.0000
0.7500 0.7500 0.7500
0.5000 0.5000 0.5000
0.2500 0.2500 0.2500
```

Computed properties:
- total energy (hartree per atom) = -0.14161